Ta2NiBr | PBE | optimized geometry

Calculated values
volume	16.80	Å³/atom
raw formation energy	1.798	eV/f.u.
excess energy over the best structure of this formula in the dataset	254	meV per atom
N(E_F)	0.776	states/eV/atom

abc: 4.814 2.956 4.724
angles: 89.63 90.00 90.00
Positions (direct):
1 Br 0.000 0.395 0.492
2 Ni 0.500 0.823 0.764
3 Ta 0.500 0.362 0.272
4 Ta 0.000 0.919 0.972